This record from the Alexandria database describes a relaxed structure of NaLiZnCd. The functional is GGA-PBE.

Cell and atoms, written as POSCAR:
```
NaLiZnCd
1.0
4.8209 0.0000 0.0000
2.4105 4.1751 0.0000
2.4105 1.3917 3.9363
Zn Cd Na Li
1 1 1 1
direct
0.0000 0.0000 0.0000
0.7500 0.7500 0.7500
0.2500 0.2500 0.2500
0.5000 0.5000 0.5000
```

Calculated values
Its density of states at the Fermi level is 2.0 states/eV per cell. The calculation puts the formation energy at -75 meV per atom. Its uncorrected energy is -1.431 eV/atom. Its total moment is 0.000 μB/atom.

This record from the Alexandria database describes a relaxed structure of LiNb2Cd. The functional is GGA-PBE.

Cell and atoms, written as POSCAR:
```
LiNb2Cd
1.0
7.6374 0.0000 0.0000
0.0000 7.6374 0.0000
3.8187 3.8187 2.5618
Li Nb Cd
2 4 2
direct
0.5000 0.5000 0.0000
0.2500 0.7500 0.5000
0.8750 0.8657 0.7500
0.3750 0.3843 0.7500
0.6157 0.1250 0.2500
0.1343 0.6250 0.2500
0.0000 0.0000 0.0000
0.7500 0.2500 0.5000
```

Calculated values
Its density of states at the Fermi level is 5.0 states/eV per cell. The calculation puts the formation energy at 632 meV per atom. Its uncorrected energy is -5.110 eV/atom. Its total moment is 0.000 μB/atom.

This record from the Alexandria database describes a relaxed structure of LiNbCd2. The functional is GGA-PBE.

Cell and atoms, written as POSCAR:
```
LiNbCd2
1.0
-1.8215 0.3910 -2.2412
-2.4115 -1.6220 -0.2180
-6.8896 6.9640 4.9193
Li Cd Nb
1 2 1
direct
0.5000 0.5000 0.5000
0.9078 0.9078 0.2765
0.0922 0.0922 0.7235
0.0000 0.0000 0.0000
```

Calculated values
Its density of states at the Fermi level is 2.1 states/eV per cell. The energy above the most stable polymorph in this dataset is 27.0 kJ per mole of atoms. The calculation puts the formation energy at 273 meV per atom. Its uncorrected energy is -3.180 eV/atom. Its total moment is 0.000 μB/atom.

This record from the Alexandria database describes a relaxed structure of Li2NbCd. The functional is GGA-PBE.

Cell and atoms, written as POSCAR:
```
Li2NbCd
1.0
-3.1294 3.2528 -5.6056
0.5629 -6.0649 -3.8336
-3.8402 -2.2399 -3.7759
Nb Li Cd
2 4 2
direct
0.5000 0.5000 0.0000
0.2500 0.7500 0.5000
0.6398 0.1250 0.2500
0.3750 0.3602 0.7500
0.1102 0.6250 0.2500
0.8750 0.8898 0.7500
0.0000 0.0000 0.0000
0.7500 0.2500 0.5000
```

Calculated values
Its density of states at the Fermi level is 6.5 states/eV per cell. The calculation puts the formation energy at 642 meV per atom. Its uncorrected energy is -3.061 eV/atom. Its total moment is 0.414 μB/atom.